# 1
A plane-wave DFT calculation with GGA-PBE was carried out for Ho3Cd2C after structural relaxation.

```
data_Ho3Cd2C
_symmetry_space_group_name_H-M 'P 1'
_symmetry_Int_Tables_number 1
_cell_length_a 5.017
_cell_length_b 6.965
_cell_length_c 8.250
_cell_angle_alpha 90.00
_cell_angle_beta 72.30
_cell_angle_gamma 90.00
loop_
_symmetry_equiv_pos_as_xyz
'x,y,z'
loop_
_atom_site_label
_atom_site_fract_x
_atom_site_fract_y
_atom_site_fract_z
Ho1 0.500 0.250 0.000
Ho2 0.500 0.750 0.000
Ho3 0.110 0.000 0.780
Ho4 0.890 0.500 0.220
Ho5 0.110 0.500 0.780
Ho6 0.890 0.000 0.220
Cd1 0.701 0.750 0.598
Cd2 0.702 0.250 0.598
Cd3 0.298 0.750 0.402
Cd4 0.299 0.250 0.402
C1 0.000 0.750 0.000
C2 0.000 0.250 0.000
```

Output
The calculation puts the energy of formation from the pure elements at -2.0 eV per formula unit. Its spin magnetization is 0.000 μB per atom. As for the space group: Cmmm (65).



# 2
A plane-wave DFT calculation with GGA-PBE was carried out for Pm4GeRh2 after structural relaxation.

```
data_Pm4GeRh2
_symmetry_space_group_name_H-M 'P 1'
_symmetry_Int_Tables_number 1
_cell_length_a 7.745
_cell_length_b 7.745
_cell_length_c 7.745
_cell_angle_alpha 109.01
_cell_angle_beta 110.41
_cell_angle_gamma 109.01
loop_
_symmetry_equiv_pos_as_xyz
'x,y,z'
loop_
_atom_site_label
_atom_site_fract_x
_atom_site_fract_y
_atom_site_fract_z
Pm1 0.134 0.877 0.379
Pm2 0.621 0.756 0.498
Pm3 0.007 0.623 0.752
Pm4 0.248 0.256 0.871
Pm5 0.616 0.744 0.993
Pm6 0.743 0.244 0.866
Pm7 0.502 0.123 0.257
Pm8 0.129 0.377 0.384
Ge1 0.000 0.000 0.000
Ge2 0.750 0.500 0.250
Rh1 0.875 0.138 0.513
Rh2 0.487 0.362 0.625
Rh3 0.375 0.862 0.737
Rh4 0.263 0.638 0.125
```

Output
The calculation puts the energy of formation from the pure elements at -4.3 eV per formula unit. Its spin magnetization is 0.000 μB per atom. As for the space group: I-42d (122).



# 3
A plane-wave DFT calculation with GGA-PBE was carried out for Ac3RhAu after structural relaxation.

```
data_Ac3RhAu
_symmetry_space_group_name_H-M 'P 1'
_symmetry_Int_Tables_number 1
_cell_length_a 4.300
_cell_length_b 7.372
_cell_length_c 11.168
_cell_angle_alpha 90.00
_cell_angle_beta 90.00
_cell_angle_gamma 106.95
loop_
_symmetry_equiv_pos_as_xyz
'x,y,z'
loop_
_atom_site_label
_atom_site_fract_x
_atom_site_fract_y
_atom_site_fract_z
Ac1 0.078 0.157 0.750
Ac2 0.922 0.843 0.250
Ac3 0.364 0.728 0.566
Ac4 0.636 0.272 0.434
Ac5 0.636 0.272 0.066
Ac6 0.364 0.728 0.934
Rh1 0.000 0.000 0.500
Rh2 0.000 0.000 0.000
Au1 0.251 0.501 0.250
Au2 0.749 0.499 0.750
```

Output
The calculation puts the energy of formation from the pure elements at -3.3 eV per formula unit. Its spin magnetization is 0.000 μB per atom. The value obtained for the energy above the most stable polymorph in this dataset is 0.000 eV per atom. As for the space group: Cmcm (63).



# 4
A plane-wave DFT calculation with GGA-PBE was carried out for YCN2 after structural relaxation.

```
data_YCN2
_symmetry_space_group_name_H-M 'P 1'
_symmetry_Int_Tables_number 1
_cell_length_a 5.055
_cell_length_b 5.055
_cell_length_c 4.652
_cell_angle_alpha 57.09
_cell_angle_beta 57.09
_cell_angle_gamma 90.00
loop_
_symmetry_equiv_pos_as_xyz
'x,y,z'
loop_
_atom_site_label
_atom_site_fract_x
_atom_site_fract_y
_atom_site_fract_z
Y1 0.000 0.000 0.000
Y2 0.750 0.250 0.500
C1 0.500 0.500 0.000
C2 0.250 0.750 0.500
N1 0.490 0.125 0.250
N2 0.260 0.625 0.250
N3 0.375 0.510 0.750
N4 0.875 0.740 0.750
```

Output
The calculation puts the formation energy from raw total energies at 0.2851 eV/atom. Its spin magnetization is 0.000 μB per atom. As for the space group: I-42d (122).



# 5
A plane-wave DFT calculation with GGA-PBE was carried out for Ca2AcGa2Sn2 after structural relaxation.

```
data_Ca2AcGa2Sn2
_symmetry_space_group_name_H-M 'P 1'
_symmetry_Int_Tables_number 1
_cell_length_a 4.485
_cell_length_b 4.485
_cell_length_c 13.080
_cell_angle_alpha 80.13
_cell_angle_beta 80.13
_cell_angle_gamma 60.00
loop_
_symmetry_equiv_pos_as_xyz
'x,y,z'
loop_
_atom_site_label
_atom_site_fract_x
_atom_site_fract_y
_atom_site_fract_z
Ca1 0.123 0.123 0.632
Ca2 0.877 0.877 0.368
Ac1 0.000 0.000 0.000
Ga1 0.585 0.585 0.246
Ga2 0.415 0.415 0.754
Sn1 0.724 0.724 0.828
Sn2 0.276 0.276 0.172
```

Output
The calculation puts the energy of formation from the pure elements at -3.0 eV per formula unit. Its spin magnetization is 0.032 μB per atom. As for the space group: R-3m (166).



# 6
A plane-wave DFT calculation with GGA-PBE was carried out for AlZnRe after structural relaxation.

```
data_AlZnRe
_symmetry_space_group_name_H-M 'P 1'
_symmetry_Int_Tables_number 1
_cell_length_a 2.786
_cell_length_b 2.786
_cell_length_c 12.281
_cell_angle_alpha 96.51
_cell_angle_beta 96.51
_cell_angle_gamma 90.00
loop_
_symmetry_equiv_pos_as_xyz
'x,y,z'
loop_
_atom_site_label
_atom_site_fract_x
_atom_site_fract_y
_atom_site_fract_z
Zn1 0.291 0.291 0.581
Zn2 0.709 0.709 0.419
Al1 0.126 0.126 0.252
Al2 0.874 0.874 0.748
Re1 0.548 0.548 0.096
Re2 0.452 0.452 0.904
```

Output
The calculation puts the energy of formation from the pure elements at 0.8 eV per formula unit. Its spin magnetization is 0.000 μB per atom. The value obtained for the energy above the most stable polymorph in this dataset is 0.246 eV per atom. As for the space group: I4/mmm (139).



# 7
A plane-wave DFT calculation with GGA-PBE was carried out for MnMo2Cl after structural relaxation.

```
data_MnMo2Cl
_symmetry_space_group_name_H-M 'P 1'
_symmetry_Int_Tables_number 1
_cell_length_a 2.946
_cell_length_b 2.946
_cell_length_c 6.800
_cell_angle_alpha 90.00
_cell_angle_beta 90.00
_cell_angle_gamma 90.00
loop_
_symmetry_equiv_pos_as_xyz
'x,y,z'
loop_
_atom_site_label
_atom_site_fract_x
_atom_site_fract_y
_atom_site_fract_z
Cl1 0.000 0.000 0.502
Mn1 0.500 0.500 0.770
Mo1 0.000 0.000 0.979
Mo2 0.500 0.500 0.249
```

Output
The calculation puts the formation energy from raw total energies at 0.4243 eV/atom. Its spin magnetization is 0.007 μB per atom. The value obtained for the energy above the most stable polymorph in this dataset is 0.253 eV per atom. As for the space group: P4mm (99).



# 8
A plane-wave DFT calculation with GGA-PBE was carried out for KTcAs2 after structural relaxation.

```
data_KTcAs2
_symmetry_space_group_name_H-M 'P 1'
_symmetry_Int_Tables_number 1
_cell_length_a 8.691
_cell_length_b 8.691
_cell_length_c 8.691
_cell_angle_alpha 22.82
_cell_angle_beta 22.82
_cell_angle_gamma 22.82
loop_
_symmetry_equiv_pos_as_xyz
'x,y,z'
loop_
_atom_site_label
_atom_site_fract_x
_atom_site_fract_y
_atom_site_fract_z
As1 0.020 0.020 0.020
As2 0.480 0.480 0.480
K1 0.250 0.250 0.250
Tc1 0.750 0.750 0.750
```

Output
The calculation puts the energy of formation from the pure elements at -0.5 eV per formula unit. Its spin magnetization is 0.000 μB per atom. The value obtained for the energy above the most stable polymorph in this dataset is 0.118 eV per atom. As for the space group: R-3m (166).



# 9
A plane-wave DFT calculation with GGA-PBE was carried out for Cs4NpSe5 after structural relaxation.

```
data_Cs4NpSe5
_symmetry_space_group_name_H-M 'P 1'
_symmetry_Int_Tables_number 1
_cell_length_a 5.656
_cell_length_b 8.979
_cell_length_c 8.979
_cell_angle_alpha 84.31
_cell_angle_beta 71.64
_cell_angle_gamma 71.64
loop_
_symmetry_equiv_pos_as_xyz
'x,y,z'
loop_
_atom_site_label
_atom_site_fract_x
_atom_site_fract_y
_atom_site_fract_z
Cs1 0.780 0.719 0.719
Cs2 0.499 0.281 0.719
Cs3 0.499 0.719 0.281
Cs4 0.218 0.281 0.281
Np1 0.999 0.000 0.000
Se1 0.156 0.686 0.000
Se2 0.156 0.000 0.686
Se3 0.842 0.000 0.314
Se4 0.842 0.314 0.000
Se5 0.499 0.000 0.000
```

Output
The calculation puts the formation energy from raw total energies at -1.0546 eV/atom. Its spin magnetization is 0.094 μB per atom. As for the space group: I4/mmm (139).



# 10
A plane-wave DFT calculation with GGA-PBE was carried out for Na3UTl2Se6 after structural relaxation.

```
data_Na3UTl2Se6
_symmetry_space_group_name_H-M 'P 1'
_symmetry_Int_Tables_number 1
_cell_length_a 7.536
_cell_length_b 7.536
_cell_length_c 7.251
_cell_angle_alpha 100.36
_cell_angle_beta 100.36
_cell_angle_gamma 119.67
loop_
_symmetry_equiv_pos_as_xyz
'x,y,z'
loop_
_atom_site_label
_atom_site_fract_x
_atom_site_fract_y
_atom_site_fract_z
Na1 0.177 0.823 0.500
Na2 0.823 0.177 0.500
Na3 0.500 0.500 0.500
U1 0.000 0.000 0.000
Tl1 0.335 0.665 0.000
Tl2 0.665 0.335 0.000
Se1 0.922 0.625 0.762
Se2 0.788 0.788 0.233
Se3 0.078 0.375 0.238
Se4 0.625 0.922 0.762
Se5 0.212 0.212 0.767
Se6 0.375 0.078 0.238
```

Output
The calculation puts the formation energy from raw total energies at -0.8595 eV/atom. Its spin magnetization is 0.000 μB per atom. As for the space group: C2/m (12).



# 11
A plane-wave DFT calculation with GGA-PBE was carried out for PuIn2Hg after structural relaxation.

```
data_PuIn2Hg
_symmetry_space_group_name_H-M 'P 1'
_symmetry_Int_Tables_number 1
_cell_length_a 3.662
_cell_length_b 3.662
_cell_length_c 7.624
_cell_angle_alpha 90.00
_cell_angle_beta 90.00
_cell_angle_gamma 90.00
loop_
_symmetry_equiv_pos_as_xyz
'x,y,z'
loop_
_atom_site_label
_atom_site_fract_x
_atom_site_fract_y
_atom_site_fract_z
In1 0.000 0.000 0.772
In2 0.000 0.000 0.228
Hg1 0.500 0.500 0.000
Pu1 0.500 0.500 0.500
```

Output
The calculation puts the energy of formation from the pure elements at -0.3 eV per formula unit. Its spin magnetization is 1.526 μB per atom. The value obtained for the energy above the most stable polymorph in this dataset is 0.089 eV per atom. As for the space group: P4/mmm (123).



# 12
A plane-wave DFT calculation with GGA-PBE was carried out for BeV3Ag after structural relaxation.

```
data_BeV3Ag
_symmetry_space_group_name_H-M 'P 1'
_symmetry_Int_Tables_number 1
_cell_length_a 4.861
_cell_length_b 4.861
_cell_length_c 4.861
_cell_angle_alpha 90.00
_cell_angle_beta 90.00
_cell_angle_gamma 90.00
loop_
_symmetry_equiv_pos_as_xyz
'x,y,z'
loop_
_atom_site_label
_atom_site_fract_x
_atom_site_fract_y
_atom_site_fract_z
Be1 0.500 0.500 0.500
Ag1 0.000 0.000 0.000
V1 0.000 0.500 0.000
V2 0.000 0.000 0.500
V3 0.500 0.000 0.000
```

Output
The calculation puts the energy of formation from the pure elements at 10.2 eV per formula unit. Its spin magnetization is 1.838 μB per atom. The value obtained for the energy above the most stable polymorph in this dataset is 1.333 eV per atom. As for the space group: Pm-3m (221).